No. 1
The following is a PBE calculation of crystalline SmScAl2S6 at its relaxed geometry, from Alexandria.

Calculated volume ... 20.359 Å³/atom
Mass density ... 3.6 Mg/m³
DOS at the Fermi energy ... 0.0 states/eV per cell
Electronic total energy ... -5.75 eV per atom

```
data_SmScAl2S6
_chemical_formula_sum 'Sm3 Sc3 Al6 S18'
_symmetry_space_group_name_H-M 'R 3'
_symmetry_Int_Tables_number 146
_symmetry_space_group_name_Hall 'R 3'
_cell_length_a 6.4966
_cell_length_b 6.4966
_cell_length_c 16.7101
_cell_angle_alpha 90.00
_cell_angle_beta 90.00
_cell_angle_gamma 120.00
loop_
_atom_site_label
_atom_site_fract_x
_atom_site_fract_y
_atom_site_fract_z
Sm1 0.0000 0.0000 0.0000
Sc1 0.0000 0.0000 0.4827
Al1 0.0000 0.0000 0.2771
Al2 0.0000 0.0000 0.7849
S1 0.0115 0.6343 0.5419
S2 0.0147 0.4111 0.0443
```

***

No. 2
The following is a PBE calculation of crystalline Sm2ScAlS6 at its relaxed geometry, from Alexandria.

Calculated volume ... 20.949 Å³/atom
Mass density ... 4.5 Mg/m³
DOS at the Fermi energy ... 0.0 states/eV per cell
Electronic total energy ... -6.20 eV per atom

```
data_Sm2ScAlS6
_chemical_formula_sum 'Sm4 Sc2 Al2 S12'
_symmetry_space_group_name_H-M 'P 1 21/c 1'
_symmetry_Int_Tables_number 14
_cell_length_a 6.400
_cell_length_b 6.999
_cell_length_c 11.292
_cell_angle_alpha 90.00
_cell_angle_beta 124.07
_cell_angle_gamma 90.00
loop_
_symmetry_equiv_pos_as_xyz
'x,y,z'
'-x,-y,-z'
'-x,y+1/2,-z+1/2'
'x,-y+1/2,z+1/2'
loop_
_atom_site_label
_atom_site_fract_x
_atom_site_fract_y
_atom_site_fract_z
Sm1 0.211 0.099 0.247
Sc1 0.500 0.000 0.000
Al1 0.000 0.000 0.500
S1 0.115 0.193 0.940
S2 0.253 0.679 0.941
S3 0.364 0.030 0.741
```

***

No. 3
The following is a PBE calculation of crystalline Sr2ScAlS5 at its relaxed geometry, from Alexandria.

Calculated volume ... 23.160 Å³/atom
Mass density ... 3.2 Mg/m³
DOS at the Fermi energy ... 0.0 states/eV per cell
Electronic total energy ... -5.60 eV per atom

```
data_Sr2ScAlS5
_chemical_formula_sum 'Sr8 Sc4 Al4 S20'
_symmetry_space_group_name_H-M 'C m c 21'
_symmetry_Int_Tables_number 36
_cell_length_a 3.877
_cell_length_b 17.414
_cell_length_c 12.349
_cell_angle_alpha 90.00
_cell_angle_beta 90.00
_cell_angle_gamma 90.00
loop_
_symmetry_equiv_pos_as_xyz
'x,y,z'
'-x,-y,z+1/2'
'-x,y,z'
'x,-y,z+1/2'
'x+1/2,y+1/2,z'
'-x+1/2,-y+1/2,z+1/2'
'-x+1/2,y+1/2,z'
'x+1/2,-y+1/2,z+1/2'
loop_
_atom_site_label
_atom_site_fract_x
_atom_site_fract_y
_atom_site_fract_z
Sr1 0.000 0.117 0.000
Sr2 0.000 0.129 0.638
Sc1 0.000 0.211 0.346
Al1 0.000 0.438 0.753
S1 0.000 0.050 0.355
S2 0.000 0.292 0.982
S3 0.000 0.312 0.698
S4 0.000 0.352 0.323
S5 0.000 0.500 0.096
```

***

No. 4
The following is a PBE calculation of crystalline ScTi2AlS at its relaxed geometry, from Alexandria.

Calculated volume ... 21.991 Å³/atom
Mass density ... 3.0 Mg/m³
DOS at the Fermi energy ... 2.6 states/eV per cell
Electronic total energy ... -4.85 eV per atom

```
data_ScTi2AlS
_chemical_formula_sum 'Sc1 Ti2 Al1 S1'
_symmetry_space_group_name_H-M 'P 4/m m m'
_symmetry_Int_Tables_number 123
_symmetry_space_group_name_Hall '-P 4 2'
_cell_length_a 4.634
_cell_length_b 4.634
_cell_length_c 5.121
_cell_angle_alpha 90.00
_cell_angle_beta 90.00
_cell_angle_gamma 90.00
loop_
_atom_site_label
_atom_site_fract_x
_atom_site_fract_y
_atom_site_fract_z
Sc1 0.000 0.000 0.000
Ti1 0.000 0.500 0.000
Al1 0.000 0.000 0.500
S1 0.500 0.500 0.500
```

***

No. 5
The following is a PBE calculation of crystalline Sc3AlTl3S8 at its relaxed geometry, from Alexandria.

Calculated volume ... 23.844 Å³/atom
Mass density ... 4.8 Mg/m³
DOS at the Fermi energy ... 9.3 states/eV per cell
Electronic total energy ... -5.42 eV per atom

```
data_Sc3AlTl3S8
_chemical_formula_sum 'Sc6 Al2 Tl6 S16'
_symmetry_space_group_name_H-M 'C 1 2/m 1'
_symmetry_Int_Tables_number 12
_cell_length_a 12.990
_cell_length_b 7.503
_cell_length_c 8.515
_cell_angle_alpha 90.00
_cell_angle_beta 120.47
_cell_angle_gamma 90.00
loop_
_symmetry_equiv_pos_as_xyz
'x,y,z'
'-x,-y,-z'
'-x,y,-z'
'x,-y,z'
'x+1/2,y+1/2,z'
'-x+1/2,-y+1/2,-z'
'-x+1/2,y+1/2,-z'
'x+1/2,-y+1/2,z'
loop_
_atom_site_label
_atom_site_fract_x
_atom_site_fract_y
_atom_site_fract_z
Sc1 0.000 0.000 0.000
Sc2 0.250 0.250 0.000
Al1 0.000 0.500 0.000
Tl1 0.000 0.500 0.500
Tl2 0.250 0.250 0.500
S1 0.018 0.262 0.816
S2 0.220 0.500 0.184
S3 0.231 0.000 0.192
```

***

No. 6
The following is a PBE calculation of crystalline ScAlTl2S4 at its relaxed geometry, from Alexandria.

Calculated volume ... 22.403 Å³/atom
Mass density ... 5.6 Mg/m³
DOS at the Fermi energy ... 1.2 states/eV per cell
Electronic total energy ... -4.84 eV per atom

```
data_ScAlTl2S4
_chemical_formula_sum 'Sc4 Al4 Tl8 S16'
_symmetry_space_group_name_H-M 'I m m a'
_symmetry_Int_Tables_number 74
_symmetry_space_group_name_Hall '-I 2b 2'
_cell_length_a 7.868
_cell_length_b 8.063
_cell_length_c 11.300
_cell_angle_alpha 90.00
_cell_angle_beta 90.00
_cell_angle_gamma 90.00
loop_
_atom_site_label
_atom_site_fract_x
_atom_site_fract_y
_atom_site_fract_z
Sc1 0.000 0.000 0.000
Al1 0.250 0.250 0.250
Tl1 0.000 0.000 0.500
Tl2 0.250 0.250 0.750
S1 0.000 0.049 0.234
S2 0.216 0.250 0.027
```